An optimized crystal structure of YTlHg2, computed with PBE-GGA.

Energy of formation from the pure elements: -185 meV per atom
Space group: P4mm, No. 99
Crystal system: tetragonal
Uncorrected energy: -2.5432 eV/atom

Lattice parameters (Å, degrees): 3.864 3.859 7.013 90.00 90.00 90.00
Fractional coordinates of all 4 atoms:
Hg (0.000, 0.000, 0.000)
Hg (0.500, 0.500, 0.238)
Tl (0.000, 0.000, 0.496)
Y (0.500, 0.500, 0.765)

=====

An optimized crystal structure of BaBi3Sb, computed with PBE-GGA.

Space group: Pm-3m, No. 221
Crystal system: cubic
Formation energy (no corrections): 1.04 eV per atom
Uncorrected energy: -2.4977 eV/atom

Lattice parameters (Å, degrees): 6.260 6.260 6.260 90.00 90.00 90.00
Fractional coordinates of all 5 atoms:
Sb (0.500, 0.500, 0.500)
Bi (0.000, 0.500, 0.000)
Bi (0.000, 0.000, 0.500)
Bi (0.500, 0.000, 0.000)
Ba (0.000, 0.000, 0.000)

=====

An optimized crystal structure of Tb4InHg2Rh, computed with PBE-GGA.

Energy of formation from the pure elements: -565 meV per atom
Space group: R-3m, No. 166
Crystal system: trigonal
Uncorrected energy: -4.2172 eV/atom

Lattice parameters (Å, degrees): 5.214 5.214 8.927 73.02 73.02 60.00
Fractional coordinates of all 8 atoms:
Tb (0.386, 0.386, 0.841)
Tb (0.868, 0.868, 0.397)
Tb (0.132, 0.132, 0.603)
Tb (0.614, 0.614, 0.159)
In (0.000, 0.000, 0.000)
Hg (0.740, 0.740, 0.779)
Hg (0.260, 0.260, 0.221)
Rh (0.500, 0.500, 0.500)

=====

An optimized crystal structure of Ac3CoGe3, computed with PBE-GGA.

Energy of formation from the pure elements: -571 meV per atom
Space group: C2/m, No. 12
Crystal system: monoclinic
Uncorrected energy: -5.3258 eV/atom

Lattice parameters (Å, degrees): 4.450 6.367 14.203 84.23 80.99 69.55
Fractional coordinates of all 14 atoms:
Ac (0.530, 0.329, 0.610)
Ac (0.470, 0.671, 0.390)
Ac (0.251, 0.262, 0.236)
Ac (0.749, 0.738, 0.764)
Ac (0.395, 0.290, 0.919)
Ac (0.605, 0.710, 0.081)
Co (0.765, 0.077, 0.393)
Co (0.235, 0.923, 0.607)
Ge (0.822, 0.815, 0.541)
Ge (0.178, 0.185, 0.459)
Ge (0.105, 0.865, 0.925)
Ge (0.895, 0.135, 0.075)
Ge (0.948, 0.862, 0.243)
Ge (0.052, 0.138, 0.757)

=====

An optimized crystal structure of Si3W, computed with PBE-GGA.

Space group: P6_3/mmc, No. 194
Crystal system: hexagonal
Formation energy (no corrections): 0.46 eV per atom
Uncorrected energy: -6.8501 eV/atom

Lattice parameters (Å, degrees): 5.242 5.242 9.484 90.00 90.00 120.00
Fractional coordinates of all 16 atoms:
Si (0.500, 0.000, 0.000)
Si (0.500, 0.000, 0.500)
Si (0.000, 0.500, 0.000)
Si (0.500, 0.500, 0.000)
Si (0.500, 0.500, 0.500)
Si (0.000, 0.500, 0.500)
Si (0.836, 0.672, 0.250)
Si (0.164, 0.328, 0.750)
Si (0.328, 0.164, 0.250)
Si (0.836, 0.164, 0.250)
Si (0.164, 0.836, 0.750)
Si (0.672, 0.836, 0.750)
W (0.000, 0.000, 0.000)
W (0.000, 0.000, 0.500)
W (0.333, 0.667, 0.250)
W (0.667, 0.333, 0.750)

=====

An optimized crystal structure of Tm2Pd2Rh, computed with PBE-GGA.

Energy of formation from the pure elements: -705 meV per atom
Space group: Ibam, No. 72
Crystal system: orthorhombic
Uncorrected energy: -6.0406 eV/atom

Lattice parameters (Å, degrees): 5.619 6.153 7.259 115.08 112.77 90.00
Fractional coordinates of all 10 atoms:
Tm (0.340, 0.560, 0.680)
Tm (0.660, 0.440, 0.320)
Tm (0.160, 0.880, 0.320)
Tm (0.840, 0.120, 0.680)
Pd (0.899, 0.737, 0.798)
Pd (0.101, 0.263, 0.202)
Pd (0.601, 0.939, 0.202)
Pd (0.399, 0.061, 0.798)
Rh (0.750, 0.500, 0.000)
Rh (0.250, 0.500, 0.000)

=====

An optimized crystal structure of MgNiPb2, computed with PBE-GGA.

Energy of formation from the pure elements: 199 meV per atom
Space group: Pmmm, No. 47
Crystal system: orthorhombic
Uncorrected energy: -3.4996 eV/atom

Lattice parameters (Å, degrees): 4.796 4.778 3.883 90.00 90.00 90.00
Fractional coordinates of all 4 atoms:
Mg (0.500, 0.000, 0.500)
Ni (0.000, 0.500, 0.500)
Pb (0.000, 0.000, 0.000)
Pb (0.500, 0.500, 0.000)

=====

An optimized crystal structure of ScBiS2, computed with PBE-GGA.

Space group: P2_1/c, No. 14
Crystal system: monoclinic
Formation energy (no corrections): -1.08 eV per atom
Uncorrected energy: -5.6971 eV/atom

Lattice parameters (Å, degrees): 17.775 3.738 8.764 90.00 131.27 90.00
Fractional coordinates of all 16 atoms:
Sc (0.309, 0.242, 0.974)
Sc (0.691, 0.758, 0.026)
Sc (0.191, 0.742, 0.526)
Sc (0.809, 0.258, 0.474)
S (0.918, 0.746, 0.734)
S (0.082, 0.254, 0.266)
S (0.582, 0.246, 0.766)
S (0.418, 0.754, 0.234)
S (0.173, 0.736, 0.782)
S (0.827, 0.264, 0.218)
S (0.327, 0.236, 0.718)
S (0.673, 0.764, 0.282)
Bi (0.653, 0.042, 0.590)
Bi (0.347, 0.958, 0.410)
Bi (0.847, 0.542, 0.910)
Bi (0.153, 0.458, 0.090)

=====

An optimized crystal structure of SbTe2RhO, computed with PBE-GGA.

Space group: P4/mmm, No. 123
Crystal system: tetragonal
Formation energy (no corrections): 0.78 eV per atom
Uncorrected energy: -3.7632 eV/atom

Lattice parameters (Å, degrees): 5.160 5.160 5.128 90.00 90.00 90.00
Fractional coordinates of all 5 atoms:
Sb (0.000, 0.000, 0.500)
Te (0.000, 0.500, 0.000)
Te (0.500, 0.000, 0.000)
Rh (0.000, 0.000, 0.000)
O (0.500, 0.500, 0.500)

=====

An optimized crystal structure of Pm8IrPt2, computed with PBE-GGA.

Energy of formation from the pure elements: -493 meV per atom
Space group: Cm, No. 8
Crystal system: monoclinic
Uncorrected energy: -5.8515 eV/atom

Lattice parameters (Å, degrees): 6.397 7.692 7.692 112.04 101.62 101.62
Fractional coordinates of all 11 atoms:
Pm (0.592, 0.347, 0.085)
Pm (0.592, 0.085, 0.347)
Pm (0.175, 0.356, 0.356)
Pm (0.982, 0.199, 0.800)
Pm (0.982, 0.800, 0.199)
Pm (0.799, 0.650, 0.650)
Pm (0.356, 0.920, 0.657)
Pm (0.356, 0.657, 0.920)
Ir (0.188, 0.007, 0.007)
Pt (0.488, 0.690, 0.323)
Pt (0.488, 0.323, 0.690)

=====

An optimized crystal structure of Rb3Ge5Cl12, computed with PBE-GGA.

Space group: Ia-3d, No. 230
Crystal system: cubic
Formation energy (no corrections): -1.01 eV per atom
Uncorrected energy: -3.4221 eV/atom

Lattice parameters (Å, degrees): 15.123 15.123 15.123 109.47 109.47 109.47
Fractional coordinates of all 80 atoms:
Rb (0.750, 0.375, 0.125)
Rb (0.875, 0.750, 0.125)
Rb (0.375, 0.750, 0.625)
Rb (0.250, 0.125, 0.375)
Rb (0.875, 0.125, 0.250)
Rb (0.375, 0.625, 0.250)
Rb (0.625, 0.375, 0.750)
Rb (0.125, 0.875, 0.750)
Rb (0.750, 0.875, 0.625)
Rb (0.625, 0.250, 0.375)
Rb (0.125, 0.250, 0.875)
Rb (0.250, 0.625, 0.875)
Ge (0.125, 0.375, 0.250)
Ge (0.000, 0.500, 0.000)
Ge (0.000, 0.000, 0.000)
Ge (0.375, 0.250, 0.125)
Ge (0.500, 0.000, 0.500)
Ge (0.500, 0.500, 0.000)
Ge (0.125, 0.750, 0.375)
Ge (0.750, 0.125, 0.875)
Ge (0.750, 0.625, 0.375)
Ge (0.375, 0.125, 0.750)
Ge (0.625, 0.875, 0.250)
Ge (0.500, 0.500, 0.500)
Ge (0.500, 0.000, 0.000)
Ge (0.000, 0.000, 0.500)
Ge (0.250, 0.375, 0.625)
Ge (0.250, 0.875, 0.125)
Ge (0.000, 0.500, 0.500)
Ge (0.875, 0.250, 0.625)
Ge (0.625, 0.750, 0.875)
Ge (0.875, 0.625, 0.750)
Cl (0.694, 0.113, 0.016)
Cl (0.323, 0.516, 0.404)
Cl (0.984, 0.387, 0.306)
Cl (0.516, 0.194, 0.113)
Cl (0.581, 0.694, 0.677)
Cl (0.984, 0.596, 0.177)
Cl (0.323, 0.806, 0.419)
Cl (0.096, 0.919, 0.113)
Cl (0.596, 0.984, 0.677)
Cl (0.694, 0.581, 0.177)
Cl (0.806, 0.484, 0.387)
Cl (0.823, 0.904, 0.016)
Cl (0.113, 0.694, 0.516)
Cl (0.387, 0.404, 0.081)
Cl (0.081, 0.904, 0.387)
Cl (0.419, 0.113, 0.596)
Cl (0.081, 0.177, 0.194)
Cl (0.484, 0.677, 0.096)
Cl (0.823, 0.919, 0.306)
Cl (0.113, 0.419, 0.096)
Cl (0.387, 0.984, 0.806)
Cl (0.596, 0.613, 0.419)
Cl (0.904, 0.823, 0.516)
Cl (0.806, 0.323, 0.919)
Cl (0.404, 0.387, 0.581)
Cl (0.096, 0.177, 0.484)
Cl (0.194, 0.677, 0.081)
Cl (0.177, 0.081, 0.694)
Cl (0.613, 0.016, 0.194)
Cl (0.887, 0.581, 0.904)
Cl (0.516, 0.323, 0.904)
Cl (0.581, 0.887, 0.404)
Cl (0.919, 0.823, 0.806)
Cl (0.919, 0.096, 0.613)
Cl (0.887, 0.306, 0.484)
Cl (0.177, 0.096, 0.984)
Cl (0.613, 0.596, 0.919)
Cl (0.404, 0.016, 0.323)
Cl (0.306, 0.419, 0.823)
Cl (0.194, 0.516, 0.613)
Cl (0.904, 0.081, 0.887)
Cl (0.677, 0.194, 0.581)
Cl (0.484, 0.806, 0.887)
Cl (0.016, 0.404, 0.823)
Cl (0.419, 0.306, 0.323)
Cl (0.016, 0.613, 0.694)
Cl (0.677, 0.484, 0.596)
Cl (0.306, 0.887, 0.984)

=====

An optimized crystal structure of Cs3IrI6, computed with PBE-GGA.

Space group: R-3, No. 148
Crystal system: trigonal
Formation energy (no corrections): -0.91 eV per atom
Uncorrected energy: -2.9871 eV/atom

Lattice parameters (Å, degrees): 9.899 9.899 9.899 86.29 86.29 86.29
Fractional coordinates of all 20 atoms:
Cs (0.464, 0.912, 0.812)
Cs (0.912, 0.812, 0.464)
Cs (0.188, 0.536, 0.088)
Cs (0.812, 0.464, 0.912)
Cs (0.088, 0.188, 0.536)
Cs (0.536, 0.088, 0.188)
Ir (0.000, 0.000, 0.000)
Ir (0.500, 0.500, 0.500)
I (0.195, 0.903, 0.169)
I (0.097, 0.831, 0.805)
I (0.519, 0.773, 0.465)
I (0.831, 0.805, 0.097)
I (0.465, 0.519, 0.773)
I (0.227, 0.535, 0.481)
I (0.773, 0.465, 0.519)
I (0.535, 0.481, 0.227)
I (0.169, 0.195, 0.903)
I (0.481, 0.227, 0.535)
I (0.903, 0.169, 0.195)
I (0.805, 0.097, 0.831)

=====

For the records above, the corresponding volume values read 26.1 49.1 24.7 26.6 14.1 20.6 22.2 27.4 27.3 29.8 33.3 48.2 Å³ per atom.